The following is a DFT calculation (GGA-PBE) of AcP4Pd12 after structural relaxation.

Summary:
Crystal system   cubic
Energy of formation from the pure elements   -0.46 eV per atom

Structure (CIF):
```
data_AcP4Pd12
_cell_length_a 8.430
_cell_length_b 8.430
_cell_length_c 8.430
_cell_angle_alpha 90.00
_cell_angle_beta 90.00
_cell_angle_gamma 90.00
_symmetry_space_group_name_H-M 'I m -3'
_symmetry_Int_Tables_number 204
_symmetry_space_group_name_Hall '-I 2 2 3'
loop_
_atom_site_label
_atom_site_type_symbol
_atom_site_fract_x
_atom_site_fract_y
_atom_site_fract_z
Ac1 Ac 0.000 0.000 0.000
P1 P 0.250 0.250 0.250
Pd1 Pd 0.000 0.177 0.339
```